[1]
Below is Mn3SiTc after structural relaxation, with properties calculated at the PBE level.

For the calculated total energy, the calculation gives -38.256 eV per cell. The relative energy among the computed polymorphs comes out at 0 meV/atom. The density of states at the Fermi level is 1.17 states/eV per atom.

The space group is Pm-3m (No. 221) and the conventional cell measures 4.090, 4.090 and 4.090 Å, with angles of 90.00, 90.00 and 90.00 degrees. The asymmetric unit holds Mn at (0.000, 0.000, 0.500), Si at (0.000, 0.000, 0.000) and Tc at (0.500, 0.500, 0.500).

=====

[2]
Below is Be2Si5Ni12 after structural relaxation, with properties calculated at the PBE level.

For the calculated total energy, the calculation gives -218.243 eV per cell. The density of states at the Fermi level is 0.37 states/eV per atom.

The space group is C2/m (No. 12) and the conventional cell measures 12.030, 5.144 and 7.230 Å, with angles of 90.00, 94.26 and 90.00 degrees. The asymmetric unit holds Be at (0.000, 0.200, 0.000), Si at (0.000, 0.500, 0.500), Si at (0.155, 0.000, 0.856), Si at (0.208, 0.000, 0.351), Ni at (0.020, 0.000, 0.298), Ni at (0.049, 0.500, 0.825), Ni at (0.149, 0.242, 0.583) and Ni at (0.172, 0.264, 0.113).

=====

[3]
Below is Sm4Hg2C after structural relaxation, with properties calculated at the PBE level.

The value obtained for the formation energy is -248 meV/atom. For the calculated total energy, the calculation gives -60.879 eV per cell. The relative energy among the computed polymorphs comes out at 89 meV/atom. The density of states at the Fermi level is 1.12 states/eV per atom.

The space group is Pbam (No. 55) and the conventional cell measures 7.861, 13.192 and 3.762 Å, with angles of 90.00, 90.00 and 90.00 degrees. The asymmetric unit holds Sm at (0.114, 0.180, 0.000), Sm at (0.209, 0.955, 0.500), Hg at (0.071, 0.664, 0.500) and C at (0.000, 0.000, 0.000).

=====

[4]
Below is MgCrSnB2 after structural relaxation, with properties calculated at the PBE level.

The value obtained for the formation energy is 2224 meV/atom. For the calculated total energy, the calculation gives -17.454 eV per cell. The density of states at the Fermi level is 0.92 states/eV per atom.

The space group is P4/mmm (No. 123) and the conventional cell measures 4.226, 4.226 and 5.348 Å, with angles of 90.00, 90.00 and 90.00 degrees. The asymmetric unit holds Mg at (0.000, 0.000, 0.000), Cr at (0.500, 0.500, 0.500), Sn at (0.000, 0.000, 0.500) and B at (0.000, 0.500, 0.000).

=====

[5]
Below is Er3GePbS after structural relaxation, with properties calculated at the PBE level.

For the calculated total energy, the calculation gives -63.325 eV per cell. The density of states at the Fermi level is 0.51 states/eV per atom.

The space group is P2_1/m (No. 11) and the conventional cell measures 6.782, 4.919 and 9.471 Å, with angles of 90.00, 106.45 and 90.00 degrees. The asymmetric unit holds Er at (0.037, 0.250, 0.323), Er at (0.268, 0.250, 0.968), Er at (0.417, 0.750, 0.616), Ge at (0.186, 0.250, 0.632), Pb at (0.266, 0.750, 0.234) and S at (0.335, 0.750, 0.885).

=====

[6]
Below is PmGeTe3 after structural relaxation, with properties calculated at the PBE level.

For the calculated total energy, the calculation gives -89.223 eV per cell. The relative energy among the computed polymorphs comes out at 0 meV/atom. The density of states at the Fermi level is 0.49 states/eV per atom.

The space group is Pnma (No. 62) and the conventional cell measures 13.198, 4.278 and 10.793 Å, with angles of 90.00, 90.00 and 90.00 degrees. The asymmetric unit holds Pm at (0.188, 0.250, 0.006), Ge at (0.019, 0.750, 0.686), Te at (0.035, 0.750, 0.139), Te at (0.127, 0.250, 0.525) and Te at (0.217, 0.750, 0.790).

=====

[7]
Below is CsMo3Pd after structural relaxation, with properties calculated at the PBE level.

The value obtained for the formation energy is 3156 meV/atom. For the calculated total energy, the calculation gives -22.762 eV per cell. The relative energy among the computed polymorphs comes out at 966 meV/atom. The density of states at the Fermi level is 0.67 states/eV per atom.

The space group is Pm-3m (No. 221) and the conventional cell measures 4.851, 4.851 and 4.851 Å, with angles of 90.00, 90.00 and 90.00 degrees. The asymmetric unit holds Cs at (0.000, 0.000, 0.000), Mo at (0.000, 0.000, 0.500) and Pd at (0.500, 0.500, 0.500).

=====

[8]
Below is Mn4Os after structural relaxation, with properties calculated at the PBE level.

The value obtained for the formation energy is 1081 meV/atom. For the calculated total energy, the calculation gives -85.005 eV per cell. The relative energy among the computed polymorphs comes out at 1000 meV/atom. The density of states at the Fermi level is 1.43 states/eV per atom.

The space group is Im-3m (No. 229) and the conventional cell measures 5.545, 5.545 and 5.545 Å, with angles of 90.00, 90.00 and 90.00 degrees. The asymmetric unit holds Mn at (0.250, 0.250, 0.250) and Os at (0.000, 0.000, 0.000).

=====

[9]
Below is KTcMo after structural relaxation, with properties calculated at the PBE level.

The value obtained for the formation energy is 928 meV/atom. For the calculated total energy, the calculation gives -19.510 eV per cell. The relative energy among the computed polymorphs comes out at 79 meV/atom. The density of states at the Fermi level is 1.04 states/eV per atom.

The space group is P3m1 (No. 156) and the conventional cell measures 3.1116, 3.1116 and 7.9863 Å, with angles of 90.00, 90.00 and 120.00 degrees. The asymmetric unit holds K at (0.0000, 0.0000, 0.0000), Tc at (0.3333, 0.6667, 0.6133) and Mo at (0.6667, 0.3333, 0.4032).

=====

[10]
Below is Li3Ag2PdAu3 after structural relaxation, with properties calculated at the PBE level.

The value obtained for the formation energy is -163 meV/atom. For the calculated total energy, the calculation gives -27.936 eV per cell. The density of states at the Fermi level is 0.21 states/eV per atom.

The space group is P-62m (No. 189) and the conventional cell measures 7.0232, 7.0232 and 4.0690 Å, with angles of 90.00, 90.00 and 120.00 degrees. The asymmetric unit holds Li at (0.0000, 0.6072, 0.0000), Ag at (0.3333, 0.6667, 0.5000), Pd at (0.0000, 0.0000, 0.0000) and Au at (0.0000, 0.2498, 0.5000).

=====

[11]
Below is K2HfZr2Te6 after structural relaxation, with properties calculated at the PBE level.

For the calculated total energy, the calculation gives -117.331 eV per cell. The density of states at the Fermi level is 0.53 states/eV per atom.

The space group is C2/m (No. 12) and the conventional cell measures 7.056, 12.233 and 8.991 Å, with angles of 90.00, 105.56 and 90.00 degrees. The asymmetric unit holds K at (0.000, 0.167, 0.000), Hf at (0.000, 0.000, 0.500), Zr at (0.000, 0.331, 0.500), Te at (0.235, 0.500, 0.701) and Te at (0.236, 0.163, 0.703).

=====

[12]
Below is Sr2AlPb4 after structural relaxation, with properties calculated at the PBE level.

The value obtained for the formation energy is -60 meV/atom. For the calculated total energy, the calculation gives -44.718 eV per cell. The density of states at the Fermi level is 0.49 states/eV per atom.

The space group is I4/mmm (No. 139) and the conventional cell measures 5.512, 5.512 and 16.762 Å, with angles of 90.00, 90.00 and 90.00 degrees. The asymmetric unit holds Sr at (0.000, 0.000, 0.139), Al at (0.000, 0.000, 0.500), Pb at (0.000, 0.000, 0.338) and Pb at (0.000, 0.500, 0.000).